Run i
The following is a DFT calculation (GGA-PBE) of a relaxed TaB4Os crystal.

Cell: 3.069 3.069 6.649 Å, 90.00 90.00 120.00°
Sites, in units of the cell vectors:
Ta  0.000  0.000  0.000
B  0.333  0.667  0.251
B  0.333  0.667  0.749
B  0.667  0.333  0.251
B  0.667  0.333  0.749
Os  0.000  0.000  0.500

Output
Total magnetization = 0.083 μB/atom
Crystal system = hexagonal



Run ii
The following is a DFT calculation (GGA-PBE) of a relaxed TaB4Os crystal.

Cell: 4.603 4.603 4.603 Å, 141.70 111.67 81.14°
Sites, in units of the cell vectors:
Ta  0.000  0.000  0.000
B  0.071  0.743  0.328
B  0.415  0.743  0.672
B  0.585  0.257  0.328
B  0.929  0.257  0.672
Os  0.500  0.500  0.000

Output
Total magnetization = 0.000 μB/atom
Crystal system = orthorhombic



It comes down to run ii, which is 0.018 eV/atom more stable than the next structure.